1.
# Tm3Sb

Tm3Sb after structural relaxation (GGA-PBEsol, Alexandria).

abc: 12.024 12.024 6.012
angles: 90.00 90.00 90.00
Space group P4_2/n (No. 86, origin choice 2)
Unique sites:
Tm: 0.036 0.924 0.234 [8 per cell]
Tm: 0.105 0.281 0.036 [8 per cell]
Tm: 0.141 0.833 0.713 [8 per cell]
Sb: 0.051 0.293 0.541 [8 per cell]

Computed properties:
D(E_F): 1.20 states/eV/atom
Formation energy without anion corrections: -582 meV per atom

2.
# TmZrSb

TmZrSb after structural relaxation (GGA-PBEsol, Alexandria).

abc: 4.189 4.189 16.254
angles: 90.00 90.00 90.00
Space group I4/mmm (No. 139)
Unique sites:
Tm: 0.000 0.000 0.176 [4 per cell]
Zr: 0.000 0.500 0.000 [4 per cell]
Sb: 0.000 0.000 0.365 [4 per cell]

Computed properties:
D(E_F): 0.96 states/eV/atom
Formation energy without anion corrections: -823 meV per atom

3.
# USb

USb after structural relaxation (GGA-PBEsol, Alexandria).

abc: 3.930 3.930 3.103
angles: 90.00 90.00 90.00
Space group P4/mmm (No. 123)
Unique sites:
U: 0.000 0.000 0.000 [1 per cell]
Sb: 0.500 0.500 0.500 [1 per cell]

Computed properties:
D(E_F): 2.59 states/eV/atom
Formation energy without anion corrections: -63 meV per atom

4.
# V3Sb

V3Sb after structural relaxation (GGA-PBEsol, Alexandria).

abc: 4.872 4.872 4.872
angles: 90.00 90.00 90.00
Space group Pm-3n (No. 223)
Unique sites:
V: 0.000 0.250 0.500 [6 per cell]
Sb: 0.000 0.000 0.000 [2 per cell]

Computed properties:
D(E_F): 0.67 states/eV/atom
Formation energy without anion corrections: -262 meV per atom